{
  "formula": "MnCd2CuO4",
  "functional": "PBE with a Hubbard U",
  "state": "relaxed",
  "energy_ev_per_atom": -4.98,
  "lattice_angstrom": [[-1.993, -1.047, -2.187], [0.640, -4.311, 3.731], [-9.140, 4.138, 6.349]],
  "species": ["Mn", "Mn", "Cd", "Cd", "Cd", "Cd", "Cu", "Cu", "O", "O", "O", "O", "O", "O", "O", "O"],
  "frac_coords": [[0.140, 0.279, 0.750], [0.860, 0.721, 0.250], [0.366, 0.732, 0.540], [0.634, 0.268, 0.040], [0.634, 0.268, 0.460], [0.366, 0.732, 0.960], [0.882, 0.763, 0.750], [0.118, 0.237, 0.250], [0.261, 0.522, 0.136], [0.739, 0.478, 0.636], [0.739, 0.478, 0.864], [0.261, 0.522, 0.364], [0.000, 0.000, 0.500], [0.000, 0.000, 0.000], [0.495, 0.991, 0.750], [0.505, 0.009, 0.250]]
}